# TbAlPt

Crystalline TbAlPt at its relaxed geometry (PBE, Alexandria via LeMat-Bulk).

Unit cell a=4.283 b=7.042 c=11.943 alpha=91.00 beta=90.00 gamma=90.00
Atoms (fractional coordinates):
1 Tb 0.250 0.971 0.708
2 Tb 0.250 0.474 0.625
3 Tb 0.750 0.029 0.292
4 Tb 0.750 0.652 0.081
5 Tb 0.250 0.348 0.919
6 Tb 0.750 0.526 0.375
7 Al 0.750 0.146 0.543
8 Al 0.750 0.005 0.916
9 Al 0.750 0.643 0.797
10 Al 0.250 0.854 0.457
11 Al 0.250 0.995 0.084
12 Al 0.250 0.357 0.203
13 Pt 0.750 0.264 0.755
14 Pt 0.250 0.227 0.427
15 Pt 0.750 0.228 0.091
16 Pt 0.250 0.736 0.245
17 Pt 0.750 0.773 0.573
18 Pt 0.250 0.772 0.909

Output
Its volume is 20.006 Å³ per atom. For the formation energy, the calculation gives -3.41 eV per formula unit. The calculation puts the electronic total energy at -5.94 eV per atom.